VASP calculation (PBE-GGA) on a geometry-optimized ScZnCoAs2 structure.

Values from the calculation:
energy of formation	0.024	eV/atom
total energy	-4.778	eV/atom
mass density	5.4	g/cm³
SG	P4/mmm (123)

Cell lengths 4.4774, 4.8637, 4.4774 Å; angles 90.00, 90.00, 90.00 degrees
With the nearest neighbours (Å) after each atom.
Sites, in units of the cell vectors:
Sc: 0.0000 0.5000 0.0000  2 Co 2.43
As: 0.0000 0.0000 0.5000  2 Co 2.24
As: 0.5000 0.0000 0.0000  2 Co 2.24
Co: 0.0000 0.0000 0.0000  4 As 2.24, 2 Sc 2.43
Zn: 0.5000 0.5000 0.5000  4 Sc 3.17, 8 As 3.31